Entry 1:
Below is a geometry-optimized SrBe2Ru structure, with properties calculated at the GGA-PBE level.

Lattice parameters (Å, degrees): 4.498 4.498 4.498 60.00 60.00 60.00
Element x y z (fractional)
Sr (0.000, 0.000, 0.000)
Be (0.250, 0.250, 0.250)
Be (0.750, 0.750, 0.750)
Ru (0.500, 0.500, 0.500)

Output
Energy relative to the elements: 0.633 eV/atom
SG: Fm-3m (225)
Relative energy among the computed polymorphs: 2.77 eV per formula unit

Entry 2:
Below is a geometry-optimized Sr3ScPb structure, with properties calculated at the GGA-PBE level.

Lattice parameters (Å, degrees): 6.365 6.365 6.365 90.00 90.00 90.00
Element x y z (fractional)
Sr (0.000, 0.000, 0.500)
Sr (0.000, 0.500, 0.000)
Sr (0.500, 0.000, 0.000)
Sc (0.500, 0.500, 0.500)
Pb (0.000, 0.000, 0.000)

Output
Energy relative to the elements: 0.283 eV/atom
SG: Pm-3m (221)
Relative energy among the computed polymorphs: 0.00 eV per formula unit

Entry 3:
Below is a geometry-optimized TlGaHgAu structure, with properties calculated at the GGA-PBE level.

Lattice parameters (Å, degrees): 5.106 5.106 5.106 60.00 60.00 60.00
Element x y z (fractional)
Tl (0.000, 0.000, 0.000)
Ga (0.500, 0.500, 0.500)
Hg (0.250, 0.250, 0.250)
Au (0.750, 0.750, 0.750)

Output
Energy relative to the elements: 0.061 eV/atom
SG: F-43m (216)

Entry 4:
Below is a geometry-optimized LiPuSiAg structure, with properties calculated at the GGA-PBE level.

Lattice parameters (Å, degrees): 4.832 4.832 4.832 60.00 60.00 60.00
Element x y z (fractional)
Li (0.000, 0.000, 0.000)
Pu (0.500, 0.500, 0.500)
Si (0.750, 0.750, 0.750)
Ag (0.250, 0.250, 0.250)

Output
Raw formation energy: -73 meV per atom
SG: F-43m (216)

Entry 5:
Below is a geometry-optimized As2PW structure, with properties calculated at the GGA-PBE level.

Lattice parameters (Å, degrees): 3.688 3.688 5.014 90.00 90.00 93.95
Element x y z (fractional)
As (0.226, 0.774, 0.000)
As (0.774, 0.226, 0.000)
P (0.500, 0.500, 0.500)
W (0.000, 0.000, 0.500)

Output
Energy relative to the elements: 0.431 eV/atom
SG: Cmmm (65)

Entry 6:
Below is a geometry-optimized TbHg4Bi structure, with properties calculated at the GGA-PBE level.

Lattice parameters (Å, degrees): 6.065 6.065 6.065 60.00 60.00 60.00
Element x y z (fractional)
Tb (0.000, 0.000, 0.000)
Hg (0.375, 0.375, 0.375)
Hg (0.375, 0.375, 0.874)
Hg (0.375, 0.874, 0.375)
Hg (0.874, 0.375, 0.375)
Bi (0.750, 0.750, 0.750)

Output
Energy relative to the elements: -0.063 eV/atom
SG: F-43m (216)

Entry 7:
Below is a geometry-optimized K2MgI2Cl2 structure, with properties calculated at the GGA-PBE level.

Lattice parameters (Å, degrees): 9.696 9.696 9.696 149.60 149.60 43.54
Element x y z (fractional)
K (0.130, 0.130, 0.000)
K (0.870, 0.870, 0.000)
Mg (0.500, 0.500, 0.000)
I (0.336, 0.336, 0.000)
I (0.664, 0.664, 0.000)
Cl (0.000, 0.500, 0.500)
Cl (0.500, 0.000, 0.500)

Output
Raw formation energy: -1617 meV per atom
SG: I4/mmm (139)

Entry 8:
Below is a geometry-optimized MnBOsC2 structure, with properties calculated at the GGA-PBE level.

Lattice parameters (Å, degrees): 3.652 3.652 3.926 90.00 90.00 90.00
Element x y z (fractional)
Mn (0.000, 0.000, 0.000)
B (0.000, 0.000, 0.500)
Os (0.500, 0.500, 0.500)
C (0.000, 0.500, 0.000)
C (0.500, 0.000, 0.000)

Output
Energy relative to the elements: 1.996 eV/atom
SG: P4/mmm (123)